No. 1
KBH6Pd: optimized geometry, PBE.

```
data_KBH6Pd
_chemical_formula_sum 'K1 B1 H6 Pd1'
_cell_length_a 4.314
_cell_length_b 4.902
_cell_length_c 5.994
_cell_angle_alpha 73.17
_cell_angle_beta 89.49
_cell_angle_gamma 64.25
_symmetry_space_group_name_H-M 'P 1'
_symmetry_Int_Tables_number 1
loop_
_symmetry_equiv_pos_as_xyz
'x,y,z'
loop_
_atom_site_label
_atom_site_type_symbol
_atom_site_fract_x
_atom_site_fract_y
_atom_site_fract_z
_atom_site_occupancy
K1 K 0.000 0.000 0.000 1
B1 B 0.273 0.457 0.657 1
H1 H 0.024 0.419 0.224 1
H2 H 0.286 0.443 0.865 1
H3 H 0.391 0.652 0.560 1
H4 H 0.411 0.190 0.638 1
H5 H 0.563 0.430 0.214 1
H6 H 0.952 0.630 0.580 1
Pd1 Pd 0.757 0.485 0.404 1
```

theoretical density: 2490 kg/m³
VASP energy: -0.281 Ry per atom

=====

No. 2
KB2H8Pd: optimized geometry, PBE.

```
data_KB2H8Pd
_chemical_formula_sum 'K2 B4 H16 Pd2'
_cell_length_a 8.811
_cell_length_b 4.223
_cell_length_c 7.784
_cell_angle_alpha 90.00
_cell_angle_beta 118.53
_cell_angle_gamma 90.00
_symmetry_space_group_name_H-M 'C 1 2/m 1'
_symmetry_Int_Tables_number 12
loop_
_symmetry_equiv_pos_as_xyz
'x,y,z'
'-x,-y,-z'
'-x,y,-z'
'x,-y,z'
'x+1/2,y+1/2,z'
'-x+1/2,-y+1/2,-z'
'-x+1/2,y+1/2,-z'
'x+1/2,-y+1/2,z'
loop_
_atom_site_label
_atom_site_type_symbol
_atom_site_fract_x
_atom_site_fract_y
_atom_site_fract_z
_atom_site_occupancy
K1 K 0.000 0.000 0.000 1
B1 B 0.080 0.500 0.728 1
H1 H 0.035 0.283 0.347 1
H2 H 0.138 0.500 0.907 1
H3 H 0.193 0.500 0.683 1
Pd1 Pd 0.000 0.000 0.500 1
```

theoretical density: 2287 kg/m³
VASP energy: -0.294 Ry per atom

=====

No. 3
KPmB2H8: optimized geometry, PBE.

```
data_KPmB2H8
_chemical_formula_sum 'K3 Pm3 B6 H24'
_cell_length_a 4.0974
_cell_length_b 4.0974
_cell_length_c 23.9801
_cell_angle_alpha 90.00
_cell_angle_beta 90.00
_cell_angle_gamma 120.00
_symmetry_space_group_name_H-M 'R -3 m'
_symmetry_Int_Tables_number 166
_symmetry_space_group_name_Hall '-R 3 2"'
loop_
_atom_site_label
_atom_site_type_symbol
_atom_site_fract_x
_atom_site_fract_y
_atom_site_fract_z
_atom_site_occupancy
K1 K 0.0000 0.0000 0.0000 1
Pm1 Pm 0.0000 0.0000 0.5000 1
B1 B 0.0000 0.0000 0.2437 1
H1 H 0.0000 0.0000 0.2950 1
H2 H 0.0039 0.5019 0.4409 1
```

theoretical density: 3055 kg/m³
VASP energy: -0.305 Ry per atom

=====

No. 4
KRbB2H6: optimized geometry, PBE.

```
data_KRbB2H6
_chemical_formula_sum 'K3 Rb3 B6 H18'
_cell_length_a 4.7655
_cell_length_b 4.7655
_cell_length_c 24.4896
_cell_angle_alpha 90.00
_cell_angle_beta 90.00
_cell_angle_gamma 120.00
_symmetry_space_group_name_H-M 'R -3'
_symmetry_Int_Tables_number 148
_symmetry_space_group_name_Hall '-R 3'
loop_
_atom_site_label
_atom_site_type_symbol
_atom_site_fract_x
_atom_site_fract_y
_atom_site_fract_z
_atom_site_occupancy
K1 K 0.0000 0.0000 0.0000 1
Rb1 Rb 0.0000 0.0000 0.5000 1
B1 B 0.0000 0.0000 0.2481 1
H1 H 0.0414 0.5221 0.4246 1
```

theoretical density: 1575 kg/m³
VASP energy: -0.269 Ry per atom

=====

No. 5
KScB4H16: optimized geometry, PBE.

```
data_KScB4H16
_chemical_formula_sum 'K4 Sc4 B16 H64'
_cell_length_a 12.235
_cell_length_b 8.803
_cell_length_c 8.981
_cell_angle_alpha 90.00
_cell_angle_beta 90.00
_cell_angle_gamma 90.00
_symmetry_space_group_name_H-M 'P n m a'
_symmetry_Int_Tables_number 62
loop_
_symmetry_equiv_pos_as_xyz
'x,y,z'
'-x,-y,-z'
'-x+1/2,-y,z+1/2'
'x+1/2,y,-z+1/2'
'x+1/2,-y+1/2,-z+1/2'
'-x+1/2,y+1/2,z+1/2'
'-x,y+1/2,-z'
'x,-y+1/2,z'
loop_
_atom_site_label
_atom_site_type_symbol
_atom_site_fract_x
_atom_site_fract_y
_atom_site_fract_z
_atom_site_occupancy
K1 K 0.093 0.250 0.128 1
Sc1 Sc 0.048 0.250 0.659 1
B1 B 0.073 0.037 0.809 1
B2 B 0.126 0.750 0.435 1
B3 B 0.172 0.250 0.465 1
H1 H 0.003 0.617 0.144 1
H2 H 0.050 0.004 0.679 1
H3 H 0.072 0.638 0.474 1
H4 H 0.089 0.573 0.885 1
H5 H 0.111 0.137 0.463 1
H6 H 0.128 0.750 0.298 1
H7 H 0.156 0.117 0.802 1
H8 H 0.216 0.750 0.491 1
H9 H 0.218 0.250 0.587 1
H10 H 0.236 0.250 0.363 1
```

theoretical density: 985 kg/m³
VASP energy: -0.316 Ry per atom

=====

No. 6
KSnB2H: optimized geometry, PBE.

```
data_KSnB2H
_chemical_formula_sum 'K1 Sn1 B2 H1'
_cell_length_a 5.077
_cell_length_b 5.077
_cell_length_c 6.626
_cell_angle_alpha 90.00
_cell_angle_beta 90.00
_cell_angle_gamma 90.00
_symmetry_space_group_name_H-M 'P 4/m m m'
_symmetry_Int_Tables_number 123
_symmetry_space_group_name_Hall '-P 4 2'
loop_
_atom_site_label
_atom_site_type_symbol
_atom_site_fract_x
_atom_site_fract_y
_atom_site_fract_z
_atom_site_occupancy
K1 K 0.000 0.000 0.000 1
Sn1 Sn 0.000 0.000 0.500 1
B1 B 0.000 0.500 0.000 1
H1 H 0.500 0.500 0.500 1
```

theoretical density: 1755 kg/m³
VASP energy: -0.105 Ry per atom

=====

In order of appearance, size of the total moment = 0.000, 0.000, 0.000, 0.187, 0.000, 0.172 μB per atom.